Entry 1:
Material: Sr2LiBr
Method: DFT, PBE
State: relaxed

Structure (POSCAR):
```
Sr2LiBr
1.0
2.067 1.194 10.389
-2.067 1.194 10.389
0.000 -2.387 10.389
Sr Li Br
2 1 1
Direct
0.000 0.000 0.000 Sr
0.222 0.222 0.222 Sr
0.456 0.456 0.456 Li
0.744 0.744 0.744 Br
```

Values from the calculation:
Symmetry   No. 160
Uncorrected formation energy   -0.649 eV/atom
Magnetization   0.016 μB per formula unit


Entry 2:
Material: Sr6Li3Br14
Method: DFT, PBE
State: relaxed

Structure (POSCAR):
```
Sr6Li3Br14
1.0
11.063 0.000 0.000
-5.532 9.581 0.000
0.000 0.000 6.809
Sr Li Br
6 3 14
Direct
0.037 0.474 0.000 Sr
0.292 0.199 0.490 Sr
0.437 0.963 0.000 Sr
0.526 0.563 0.000 Sr
0.801 0.093 0.490 Sr
0.907 0.708 0.490 Sr
0.000 0.000 0.061 Li
0.333 0.667 0.571 Li
0.667 0.333 0.681 Li
0.000 0.000 0.694 Br
0.076 0.233 0.226 Br
0.158 0.924 0.226 Br
0.182 0.751 0.735 Br
0.249 0.431 0.735 Br
0.333 0.667 0.202 Br
0.431 0.239 0.906 Br
0.520 0.094 0.436 Br
0.569 0.818 0.735 Br
0.574 0.480 0.436 Br
0.761 0.192 0.906 Br
0.767 0.842 0.226 Br
0.808 0.569 0.906 Br
0.906 0.426 0.436 Br
```

Values from the calculation:
Symmetry   No. 143
Uncorrected formation energy   -1.877 eV/atom
Magnetization   0.000 μB per formula unit


Entry 3:
Material: Sr2LiBr
Method: DFT, PBE
State: relaxed

Structure (POSCAR):
```
Sr2LiBr
1.0
4.373 0.000 0.000
0.000 4.097 0.000
-0.009 0.000 9.134
Sr Li Br
2 1 1
Direct
0.001 0.000 0.272 Sr
0.999 0.000 0.728 Sr
0.500 0.500 0.500 Li
0.000 0.500 0.000 Br
```

Values from the calculation:
Symmetry   No. 10
Uncorrected formation energy   -0.672 eV/atom
Magnetization   0.000 μB per formula unit


Entry 4:
Material: SrLi2Br4
Method: DFT, PBE
State: relaxed

Structure (POSCAR):
```
SrLi2Br4
1.0
7.045 -2.268 0.000
7.045 2.268 0.000
-1.645 0.000 7.053
Sr Li Br
1 2 4
Direct
0.000 0.000 0.000 Sr
0.324 0.324 0.419 Li
0.676 0.676 0.581 Li
0.138 0.138 0.403 Br
0.380 0.380 0.113 Br
0.620 0.620 0.887 Br
0.862 0.862 0.597 Br
```

Values from the calculation:
Symmetry   No. 12
Uncorrected formation energy   -1.776 eV/atom
Magnetization   0.000 μB per formula unit


Entry 5:
Material: Sr2LiBr
Method: DFT, PBE
State: relaxed

Structure (POSCAR):
```
Sr2LiBr
1.0
0.000 4.211 4.211
4.211 0.000 4.211
4.211 4.211 0.000
Sr Li Br
2 1 1
Direct
0.250 0.250 0.250 Sr
0.750 0.750 0.750 Sr
0.000 0.000 0.000 Li
0.500 0.500 0.500 Br
```

Values from the calculation:
Symmetry   No. 225
Uncorrected formation energy   -0.446 eV/atom
Magnetization   0.000 μB per formula unit


Entry 6:
Material: SrLiBr2
Method: DFT, PBE
State: relaxed

Structure (POSCAR):
```
SrLiBr2
1.0
3.890 0.000 0.000
0.000 3.890 0.000
0.000 0.000 7.450
Sr Li Br
1 1 2
Direct
0.000 0.000 0.000 Sr
0.000 0.000 0.500 Li
0.500 0.500 0.241 Br
0.500 0.500 0.759 Br
```

Values from the calculation:
Symmetry   No. 123
Uncorrected formation energy   -1.206 eV/atom
Magnetization   0.745 μB per formula unit


Entry 7:
Material: Sr2LiBr
Method: DFT, PBE
State: relaxed

Structure (POSCAR):
```
Sr2LiBr
1.0
4.215 0.000 0.000
0.000 6.279 0.000
-0.033 0.000 6.251
Sr Li Br
2 1 1
Direct
0.000 0.000 0.000 Sr
0.004 0.500 0.501 Sr
0.502 0.500 0.000 Li
0.003 0.000 0.500 Br
```

Values from the calculation:
Symmetry   No. 6
Uncorrected formation energy   -0.623 eV/atom
Magnetization   0.001 μB per formula unit


Entry 8:
Material: Sr2LiBr
Method: DFT, PBE
State: relaxed

Structure (POSCAR):
```
Sr2LiBr
1.0
2.158 -3.473 0.000
2.158 3.473 0.000
0.000 0.000 10.437
Sr Li Br
2 1 1
Direct
0.000 0.000 0.000 Sr
0.500 0.500 0.329 Sr
0.000 0.000 0.613 Li
0.500 0.500 0.769 Br
```

Values from the calculation:
Symmetry   No. 35
Uncorrected formation energy   -0.621 eV/atom
Magnetization   0.001 μB per formula unit


Entry 9:
Material: SrLiTbBr6
Method: DFT, PBE
State: relaxed

Structure (POSCAR):
```
SrLiTbBr6
1.0
7.162 0.000 0.000
-3.581 6.202 0.000
0.000 0.000 13.430
Sr Li Tb Br
2 2 2 12
Direct
0.000 0.000 0.000 Sr
0.000 0.000 0.500 Sr
0.333 0.667 0.250 Li
0.667 0.333 0.750 Li
0.333 0.667 0.750 Tb
0.667 0.333 0.250 Tb
0.004 0.357 0.132 Br
0.004 0.647 0.368 Br
0.353 0.357 0.368 Br
0.353 0.996 0.132 Br
0.357 0.004 0.632 Br
0.357 0.353 0.868 Br
0.643 0.647 0.132 Br
0.643 0.996 0.368 Br
0.647 0.004 0.868 Br
0.647 0.643 0.632 Br
0.996 0.353 0.632 Br
0.996 0.643 0.868 Br
```

Values from the calculation:
Symmetry   No. 163
Uncorrected formation energy   -1.868 eV/atom
Magnetization   0.000 μB per formula unit


Entry 10:
Material: Li2TaBr8
Method: DFT, PBE
State: relaxed

Structure (POSCAR):
```
Li2TaBr8
1.0
5.401 -5.649 0.000
5.401 5.649 0.000
-0.257 0.000 6.533
Li Ta Br
2 1 8
Direct
0.225 0.225 0.420 Li
0.775 0.775 0.580 Li
0.000 0.000 0.000 Ta
0.075 0.755 0.762 Br
0.205 0.205 0.818 Br
0.245 0.925 0.238 Br
0.437 0.437 0.303 Br
0.563 0.563 0.697 Br
0.755 0.075 0.762 Br
0.795 0.795 0.182 Br
0.925 0.245 0.238 Br
```

Values from the calculation:
Symmetry   No. 12
Uncorrected formation energy   -0.950 eV/atom
Magnetization   1.002 μB per formula unit


Entry 11:
Material: Li2TaBr
Method: DFT, PBE
State: relaxed

Structure (POSCAR):
```
Li2TaBr
1.0
-1.885 1.885 5.017
1.885 -1.885 5.017
1.885 1.885 -5.017
Li Ta Br
2 1 1
Direct
0.250 0.750 0.500 Li
0.750 0.250 0.500 Li
0.000 0.000 0.000 Ta
0.500 0.500 0.000 Br
```

Values from the calculation:
Symmetry   No. 139
Uncorrected formation energy   0.632 eV/atom
Magnetization   0.000 μB per formula unit


Entry 12:
Material: Li2TaBr
Method: DFT, PBE
State: relaxed

Structure (POSCAR):
```
Li2TaBr
1.0
-3.710 3.710 2.573
3.710 -3.710 2.573
3.710 3.710 -2.573
Li Ta Br
4 2 2
Direct
0.078 0.625 0.953 Li
0.375 0.328 0.453 Li
0.672 0.125 0.047 Li
0.875 0.922 0.547 Li
0.250 0.750 0.500 Ta
0.500 0.500 0.000 Ta
0.000 0.000 0.000 Br
0.750 0.250 0.500 Br
```

Values from the calculation:
Symmetry   No. 122
Uncorrected formation energy   0.492 eV/atom
Magnetization   0.000 μB per formula unit


Entry 13:
Material: LiTaBr
Method: DFT, PBE
State: relaxed

Structure (POSCAR):
```
LiTaBr
1.0
4.533 0.000 0.000
-2.266 3.925 0.000
0.000 0.000 3.100
Li Ta Br
1 1 1
Direct
0.000 0.000 0.000 Li
0.667 0.333 0.500 Ta
0.333 0.667 0.500 Br
```

Values from the calculation:
Symmetry   No. 187
Uncorrected formation energy   0.520 eV/atom
Magnetization   0.000 μB per formula unit


Entry 14:
Material: LiTaBr
Method: DFT, PBE
State: relaxed

Structure (POSCAR):
```
LiTaBr
1.0
3.181 0.000 0.000
-1.590 2.755 0.000
0.000 0.000 6.782
Li Ta Br
1 1 1
Direct
0.000 0.000 0.000 Li
0.333 0.667 0.343 Ta
0.667 0.333 0.631 Br
```

Values from the calculation:
Symmetry   No. 156
Uncorrected formation energy   0.085 eV/atom
Magnetization   0.483 μB per formula unit


Entry 15:
Material: Li2TaBr
Method: DFT, PBE
State: relaxed

Structure (POSCAR):
```
Li2TaBr
1.0
1.611 -2.599 0.000
1.611 2.599 0.000
0.000 0.000 8.936
Li Ta Br
2 1 1
Direct
0.000 0.000 0.211 Li
0.000 0.000 0.789 Li
0.500 0.500 0.500 Ta
0.500 0.500 0.000 Br
```

Values from the calculation:
Symmetry   No. 65
Uncorrected formation energy   -0.036 eV/atom
Magnetization   0.000 μB per formula unit


Entry 16:
Material: Li2TaBr
Method: DFT, PBE
State: relaxed

Structure (POSCAR):
```
Li2TaBr
1.0
3.049 0.000 0.000
0.000 3.049 0.000
0.000 0.000 7.860
Li Ta Br
2 1 1
Direct
0.000 0.000 0.202 Li
0.000 0.000 0.798 Li
0.500 0.500 0.500 Ta
0.500 0.500 0.000 Br
```

Values from the calculation:
Symmetry   No. 123
Uncorrected formation energy   0.045 eV/atom
Magnetization   0.480 μB per formula unit


Entry 17:
Material: Li2TaBr
Method: DFT, PBE
State: relaxed

Structure (POSCAR):
```
Li2TaBr
1.0
3.037 0.000 0.000
0.000 4.807 0.000
0.000 0.000 4.870
Li Ta Br
2 1 1
Direct
0.000 0.000 0.000 Li
0.500 0.500 0.000 Li
0.000 0.500 0.500 Ta
0.500 0.000 0.500 Br
```

Values from the calculation:
Symmetry   No. 47
Uncorrected formation energy   0.434 eV/atom
Magnetization   0.001 μB per formula unit


Entry 18:
Material: Li2TaBr
Method: DFT, PBE
State: relaxed

Structure (POSCAR):
```
Li2TaBr
1.0
-1.502 2.396 4.918
1.502 -2.396 4.918
1.502 2.396 -4.918
Li Ta Br
2 1 1
Direct
0.224 0.224 0.000 Li
0.776 0.776 0.000 Li
0.500 0.000 0.500 Ta
0.000 0.500 0.500 Br
```

Values from the calculation:
Symmetry   No. 71
Uncorrected formation energy   0.349 eV/atom
Magnetization   0.000 μB per formula unit


Entry 19:
Material: LiTaBr3
Method: DFT, PBE
State: relaxed

Structure (POSCAR):
```
LiTaBr3
1.0
5.364 0.000 0.000
0.000 5.364 0.000
0.000 0.000 5.364
Li Ta Br
1 1 3
Direct
0.000 0.000 0.000 Li
0.500 0.500 0.500 Ta
0.000 0.500 0.500 Br
0.500 0.000 0.500 Br
0.500 0.500 0.000 Br
```

Values from the calculation:
Symmetry   No. 221
Uncorrected formation energy   -0.238 eV/atom
Magnetization   2.950 μB per formula unit


Entry 20:
Material: LiTaBr3
Method: DFT, PBE
State: relaxed

Structure (POSCAR):
```
LiTaBr3
1.0
4.868 0.000 0.000
0.000 4.868 0.000
0.000 0.000 4.868
Li Ta Br
1 1 3
Direct
0.000 0.000 0.000 Li
0.500 0.500 0.500 Ta
0.000 0.000 0.500 Br
0.000 0.500 0.000 Br
0.500 0.000 0.000 Br
```

Values from the calculation:
Symmetry   No. 221
Uncorrected formation energy   0.225 eV/atom
Magnetization   2.998 μB per formula unit


Entry 21:
Material: Li2TaBr
Method: DFT, PBE
State: relaxed

Structure (POSCAR):
```
Li2TaBr
1.0
3.186 0.000 0.000
0.000 3.186 0.000
0.000 0.000 6.599
Li Ta Br
2 1 1
Direct
0.000 0.000 0.000 Li
0.500 0.500 0.225 Li
0.000 0.000 0.489 Ta
0.500 0.500 0.770 Br
```

Values from the calculation:
Symmetry   No. 99
Uncorrected formation energy   0.194 eV/atom
Magnetization   0.000 μB per formula unit


Entry 22:
Material: LiTaBr6
Method: DFT, PBE
State: relaxed

Structure (POSCAR):
```
LiTaBr6
1.0
3.503 -6.328 0.000
3.503 6.328 0.000
-3.009 0.000 6.282
Li Ta Br
1 1 6
Direct
0.000 0.000 0.000 Li
0.500 0.500 0.500 Ta
0.116 0.402 0.256 Br
0.287 0.287 0.711 Br
0.402 0.116 0.256 Br
0.598 0.884 0.744 Br
0.713 0.713 0.289 Br
0.884 0.598 0.744 Br
```

Values from the calculation:
Symmetry   No. 12
Uncorrected formation energy   -1.037 eV/atom
Magnetization   0.000 μB per formula unit


Entry 23:
Material: LiTa2Br8
Method: DFT, PBE
State: relaxed

Structure (POSCAR):
```
LiTa2Br8
1.0
6.674 -5.018 0.000
6.674 5.018 0.000
-0.173 0.000 7.019
Li Ta Br
1 2 8
Direct
0.000 0.000 0.000 Li
0.198 0.198 0.656 Ta
0.802 0.802 0.344 Ta
0.081 0.715 0.193 Br
0.180 0.180 0.308 Br
0.285 0.919 0.807 Br
0.374 0.374 0.751 Br
0.626 0.626 0.249 Br
0.715 0.081 0.193 Br
0.820 0.820 0.692 Br
0.919 0.285 0.807 Br
```

Values from the calculation:
Symmetry   No. 12
Uncorrected formation energy   -0.734 eV/atom
Magnetization   3.000 μB per formula unit


Entry 24:
Material: LiTaBr
Method: DFT, PBE
State: relaxed

Structure (POSCAR):
```
LiTaBr
1.0
0.000 3.293 3.293
3.293 0.000 3.293
3.293 3.293 0.000
Li Ta Br
1 1 1
Direct
0.000 0.000 0.000 Li
0.750 0.750 0.750 Ta
0.250 0.250 0.250 Br
```

Values from the calculation:
Symmetry   No. 216
Uncorrected formation energy   1.378 eV/atom
Magnetization   4.020 μB per formula unit


Entry 25:
Material: Li2TaBr
Method: DFT, PBE
State: relaxed

Structure (POSCAR):
```
Li2TaBr
1.0
1.577 -2.686 0.000
1.577 2.686 0.000
0.000 0.000 9.446
Li Ta Br
2 1 1
Direct
0.000 0.000 0.000 Li
0.500 0.500 0.276 Li
0.000 0.000 0.544 Ta
0.500 0.500 0.781 Br
```

Values from the calculation:
Symmetry   No. 35
Uncorrected formation energy   0.198 eV/atom
Magnetization   0.000 μB per formula unit


Entry 26:
Material: Li2TaBr
Method: DFT, PBE
State: relaxed

Structure (POSCAR):
```
Li2TaBr
1.0
2.989 0.000 0.000
0.000 4.951 0.000
-0.006 0.000 5.317
Li Ta Br
2 1 1
Direct
0.000 0.000 0.000 Li
0.004 0.500 0.742 Li
0.502 0.500 0.227 Ta
0.502 0.000 0.393 Br
```

Values from the calculation:
Symmetry   No. 6
Uncorrected formation energy   0.269 eV/atom
Magnetization   0.000 μB per formula unit


Entry 27:
Material: Li2TaBr
Method: DFT, PBE
State: relaxed

Structure (POSCAR):
```
Li2TaBr
1.0
0.000 3.250 3.250
3.250 0.000 3.250
3.250 3.250 0.000
Li Ta Br
2 1 1
Direct
0.000 0.000 0.000 Li
0.250 0.250 0.250 Li
0.500 0.500 0.500 Ta
0.750 0.750 0.750 Br
```

Values from the calculation:
Symmetry   No. 216
Uncorrected formation energy   0.741 eV/atom
Magnetization   0.007 μB per formula unit